1.
An optimized crystal structure of FeMo3Br. Source: the Alexandria database, functional PBE.

The crystal system is cubic. The calculation puts the polymorph energy (0 for the lowest one) at 0 meV per atom. As for the uncorrected formation energy: 1454 meV per atom.

Cell: 4.543 4.543 4.543 Å, 90.00 90.00 90.00°
Space group Pm-3m (No. 221)
Inequivalent atoms, fractional coordinates:
1 Fe 0.000 0.000 0.000 (multiplicity 1)
2 Mo 0.000 0.000 0.500 (multiplicity 3)
3 Br 0.500 0.500 0.500 (multiplicity 1)

2.
An optimized crystal structure of FeMoBr2. Source: the Alexandria database, functional PBE.

The crystal system is orthorhombic. The calculation puts the polymorph energy (0 for the lowest one) at 773 meV per atom. As for the uncorrected formation energy: 821 meV per atom.

Cell: 3.086 5.928 8.614 Å, 90.00 90.00 90.00°
Space group Cmmm (No. 65)
Inequivalent atoms, fractional coordinates:
1 Fe 0.000 0.000 0.000 (multiplicity 2)
2 Mo 0.000 0.000 0.500 (multiplicity 2)
3 Br 0.000 0.500 0.250 (multiplicity 4)

3.
An optimized crystal structure of FeMoBr2. Source: the Alexandria database, functional PBE.

The crystal system is cubic. The calculation puts the polymorph energy (0 for the lowest one) at 1016 meV per atom. As for the uncorrected formation energy: 1064 meV per atom.

Cell: 6.340 6.340 6.340 Å, 90.00 90.00 90.00°
Space group Fm-3m (No. 225)
Inequivalent atoms, fractional coordinates:
1 Fe 0.000 0.000 0.000 (multiplicity 4)
2 Mo 0.000 0.000 0.500 (multiplicity 4)
3 Br 0.250 0.250 0.250 (multiplicity 8)